No. 1
The following is a DFT calculation (GGA-PBE) of a relaxed structure of BiI2BrO.

Structure (POSCAR):
```
BiI2BrO
1.0
6.344 0.000 0.000
0.000 6.344 0.000
0.000 0.000 3.800
Bi I Br O
1 2 1 1
direct
0.000 0.000 0.000
0.000 0.500 0.500
0.500 0.000 0.500
0.500 0.500 0.500
0.500 0.500 0.000
```

Results
The value obtained for the distance to the lowest polymorph of the same formula is 0.537 eV per atom. For the total energy, the calculation gives -2.2408 eV/atom. As for the space group: P4/mmm. For the density of states at the Fermi level, the calculation gives 5.24 states/eV/f.u. For the formation energy without anion corrections, the calculation gives 0.482 eV per atom. The value obtained for the total magnetic moment is 0.000 μB per atom.

***

No. 2
The following is a DFT calculation (GGA-PBE) of a relaxed structure of BiOs2IBr.

Structure (POSCAR):
```
BiOs2IBr
1.0
4.883 0.000 0.000
0.000 4.883 0.000
0.000 0.000 6.262
Bi Os I Br
1 2 1 1
direct
0.000 0.000 0.000
0.000 0.500 0.500
0.500 0.000 0.500
0.000 0.000 0.500
0.500 0.500 0.000
```

Results
For the total energy, the calculation gives -3.7096 eV/atom. As for the space group: P4/mmm. For the density of states at the Fermi level, the calculation gives 4.97 states/eV/f.u. For the formation energy without anion corrections, the calculation gives 2.203 eV per atom. The value obtained for the total magnetic moment is 0.558 μB per atom.

***

No. 3
The following is a DFT calculation (GGA-PBE) of a relaxed structure of BiOsIBr2.

Structure (POSCAR):
```
BiOsIBr2
1.0
5.421 0.000 0.000
0.000 5.421 0.000
0.000 0.000 6.612
Bi Os I Br
1 1 1 2
direct
0.000 0.000 0.000
0.500 0.500 0.000
0.000 0.000 0.500
0.000 0.500 0.500
0.500 0.000 0.500
```

Results
For the total energy, the calculation gives -2.3085 eV/atom. As for the space group: P4/mmm. For the density of states at the Fermi level, the calculation gives 8.10 states/eV/f.u. For the formation energy without anion corrections, the calculation gives 1.693 eV per atom. The value obtained for the total magnetic moment is 0.696 μB per atom.

***

No. 4
The following is a DFT calculation (GGA-PBE) of a relaxed structure of RbBiI2Br.

Structure (POSCAR):
```
RbBiI2Br
1.0
6.315 0.000 0.000
0.000 6.315 0.000
0.000 0.000 5.925
Rb Bi I Br
1 1 2 1
direct
0.000 0.000 0.000
0.500 0.500 0.500
0.000 0.500 0.500
0.500 0.000 0.500
0.500 0.500 0.000
```

Results
For the total energy, the calculation gives -2.7480 eV/atom. As for the space group: P4/mmm. For the density of states at the Fermi level, the calculation gives 0.26 states/eV/f.u. For the formation energy without anion corrections, the calculation gives -0.824 eV per atom. The value obtained for the total magnetic moment is 0.000 μB per atom.

***

No. 5
The following is a DFT calculation (GGA-PBE) of a relaxed structure of Rb2BiIBr6.

Structure (POSCAR):
```
Rb2BiIBr6
1.0
-4.532 4.532 5.623
4.532 -4.532 5.623
4.532 4.532 -5.623
Rb Bi I Br
2 1 1 6
direct
0.250 0.750 0.500
0.750 0.250 0.500
0.000 0.000 0.000
0.500 0.500 0.000
0.221 0.221 0.442
0.221 0.779 0.000
0.256 0.256 0.000
0.744 0.744 0.000
0.779 0.221 0.000
0.779 0.779 0.558
```

Results
For the total energy, the calculation gives -2.6382 eV/atom. As for the space group: I4/mmm. For the density of states at the Fermi level, the calculation gives 4.70 states/eV/f.u. For the formation energy without anion corrections, the calculation gives -0.898 eV per atom. The value obtained for the total magnetic moment is 0.000 μB per atom.

***

No. 6
The following is a DFT calculation (GGA-PBE) of a relaxed structure of Bi2RhIBr.

Structure (POSCAR):
```
Bi2RhIBr
1.0
5.951 0.000 0.000
0.000 5.951 0.000
0.000 0.000 5.440
Bi Rh I Br
2 1 1 1
direct
0.000 0.500 0.000
0.500 0.000 0.000
0.000 0.000 0.500
0.500 0.500 0.000
0.500 0.500 0.500
```

Results
For the total energy, the calculation gives -2.2707 eV/atom. As for the space group: P4/mmm. For the density of states at the Fermi level, the calculation gives 7.82 states/eV/f.u. For the formation energy without anion corrections, the calculation gives 1.397 eV per atom. The value obtained for the total magnetic moment is 0.000 μB per atom.

***

No. 7
The following is a DFT calculation (GGA-PBE) of a relaxed structure of BiS2IBr.

Structure (POSCAR):
```
BiS2IBr
1.0
5.021 0.000 0.000
0.000 5.021 0.000
0.000 0.000 6.361
Bi S I Br
1 2 1 1
direct
0.000 0.000 0.000
0.000 0.500 0.500
0.500 0.000 0.500
0.000 0.000 0.500
0.500 0.500 0.000
```

Results
For the total energy, the calculation gives -2.3541 eV/atom. As for the space group: P4/mmm. For the density of states at the Fermi level, the calculation gives 4.25 states/eV/f.u. For the formation energy without anion corrections, the calculation gives 0.718 eV per atom. The value obtained for the total magnetic moment is 0.000 μB per atom.

***

No. 8
The following is a DFT calculation (GGA-PBE) of a relaxed structure of BiSb2IBr.

Structure (POSCAR):
```
BiSb2IBr
1.0
5.668 0.000 0.000
0.000 5.668 0.000
0.000 0.000 5.570
Bi Sb I Br
1 2 1 1
direct
0.000 0.000 0.000
0.000 0.500 0.500
0.500 0.000 0.500
0.500 0.500 0.000
0.500 0.500 0.500
```

Results
The value obtained for the distance to the lowest polymorph of the same formula is 0.198 eV per atom. For the total energy, the calculation gives -2.2800 eV/atom. As for the space group: P4/mmm. For the density of states at the Fermi level, the calculation gives 4.74 states/eV/f.u. For the formation energy without anion corrections, the calculation gives 0.790 eV per atom. The value obtained for the total magnetic moment is 0.000 μB per atom.

***

No. 9
The following is a DFT calculation (GGA-PBE) of a relaxed structure of BiSb2IBr.

Structure (POSCAR):
```
BiSb2IBr
1.0
5.995 0.000 0.000
0.000 5.995 0.000
0.000 0.000 6.038
Bi Sb I Br
1 2 1 1
direct
0.000 0.000 0.000
0.000 0.500 0.000
0.500 0.000 0.000
0.000 0.000 0.500
0.500 0.500 0.500
```

Results
The value obtained for the distance to the lowest polymorph of the same formula is 0.000 eV per atom. For the total energy, the calculation gives -2.4775 eV/atom. As for the space group: P4/mmm. For the density of states at the Fermi level, the calculation gives 5.16 states/eV/f.u. For the formation energy without anion corrections, the calculation gives 0.592 eV per atom. The value obtained for the total magnetic moment is 0.363 μB per atom.

***

No. 10
The following is a DFT calculation (GGA-PBE) of a relaxed structure of ScBiIBr2.

Structure (POSCAR):
```
ScBiIBr2
1.0
5.347 0.000 0.000
0.000 5.347 0.000
0.000 0.000 5.997
Sc Bi I Br
1 1 1 2
direct
0.000 0.000 0.000
0.500 0.500 0.500
0.000 0.000 0.500
0.000 0.500 0.000
0.500 0.000 0.000
```

Results
For the total energy, the calculation gives -3.6265 eV/atom. As for the space group: P4/mmm. For the density of states at the Fermi level, the calculation gives 2.92 states/eV/f.u. For the formation energy without anion corrections, the calculation gives -0.605 eV per atom. The value obtained for the total magnetic moment is 0.599 μB per atom.

***

No. 11
The following is a DFT calculation (GGA-PBE) of a relaxed structure of Sc2BiIBr.

Structure (POSCAR):
```
Sc2BiIBr
1.0
5.168 0.000 0.000
0.000 5.168 0.000
0.000 0.000 5.888
Sc Bi I Br
2 1 1 1
direct
0.000 0.500 0.000
0.500 0.000 0.000
0.000 0.000 0.500
0.500 0.500 0.500
0.000 0.000 0.000
```

Results
For the total energy, the calculation gives -3.7092 eV/atom. As for the space group: P4/mmm. For the density of states at the Fermi level, the calculation gives 6.21 states/eV/f.u. For the formation energy without anion corrections, the calculation gives 0.244 eV per atom. The value obtained for the total magnetic moment is 0.000 μB per atom.

***

No. 12
The following is a DFT calculation (GGA-PBE) of a relaxed structure of BiSeIBr2.

Structure (POSCAR):
```
BiSeIBr2
1.0
5.550 0.000 0.000
0.000 5.550 0.000
0.000 0.000 6.036
Bi Se I Br
1 1 1 2
direct
0.000 0.000 0.000
0.000 0.000 0.500
0.500 0.500 0.500
0.000 0.500 0.000
0.500 0.000 0.000
```

Results
The value obtained for the distance to the lowest polymorph of the same formula is 0.000 eV per atom. For the total energy, the calculation gives -2.4278 eV/atom. As for the space group: P4/mmm. For the density of states at the Fermi level, the calculation gives 5.54 states/eV/f.u. For the formation energy without anion corrections, the calculation gives 0.024 eV per atom. The value obtained for the total magnetic moment is 0.000 μB per atom.